A geometry-optimized HSe2I structure. Source: Alexandria, functional PBE.

Values from the calculation:
- uncorrected energy (eV for the cell shown) = -37.15

a b c (Å): 5.2390 5.2390 13.4521
angles (deg): 90.00 90.00 90.00
Last column: nearest neighbours and their distance in Å.
Sites, in units of the cell vectors:
H1 0.0000 0.0000 0.0000  4 Se 2.13
H2 0.0000 0.5000 0.2500  4 Se 2.13
H3 0.5000 0.0000 0.7500  4 Se 2.13
H4 0.5000 0.5000 0.5000  4 Se 2.13
Se1 0.0160 0.2500 0.1250  2 H 2.13
Se2 0.2500 0.5160 0.3750  2 H 2.13
Se3 0.2500 0.9840 0.8750  2 H 2.13
Se4 0.4840 0.2500 0.6250  2 H 2.13
Se5 0.5160 0.7500 0.6250  2 H 2.13
Se6 0.7500 0.0160 0.8750  2 H 2.13
Se7 0.7500 0.4840 0.3750  2 H 2.13
Se8 0.9840 0.7500 0.1250  2 H 2.13
I1 0.0000 0.0000 0.5000  8 Se 3.31-3.44, 4 H 3.70
I2 0.0000 0.5000 0.7500  8 Se 3.31-3.44, 4 H 3.70
I3 0.5000 0.0000 0.2500  8 Se 3.31-3.44, 4 H 3.70
I4 0.5000 0.5000 0.0000  8 Se 3.31-3.44, 4 H 3.70

***

A geometry-optimized HSeI structure. Source: Alexandria, functional PBE.

Values from the calculation:
- uncorrected energy (eV for the cell shown) = -31.33

a b c (Å): 5.8781 8.9065 9.7217
angles (deg): 113.22 91.73 106.29
Last column: nearest neighbours and their distance in Å.
Sites, in units of the cell vectors:
H1 0.0632 0.4784 0.2234  1 I 1.67
H2 0.4109 0.4656 0.7199  1 I 1.67
H3 0.5891 0.5344 0.2801  1 I 1.67
H4 0.9368 0.5216 0.7766  1 I 1.67
Se1 0.2952 0.9567 0.7814  1 Se 2.20
Se2 0.3478 0.9449 0.2732  1 Se 2.20
Se3 0.6522 0.0551 0.7268  1 Se 2.20
Se4 0.7048 0.0433 0.2186  1 Se 2.20
I1 0.1600 0.3486 0.5929  1 H 1.67
I2 0.1993 0.3552 0.0998  1 H 1.67
I3 0.8007 0.6448 0.9002  1 H 1.67
I4 0.8400 0.6514 0.4071  1 H 1.67